VASP calculation (PBE-GGA) on a geometry-optimized VGe2Pd8 structure.

Calculated values
energy of formation from the pure elements: -1.24 eV/f.u.
total magnetization: 0.000 μB per atom

abc: 4.759 6.893 6.893
angles: 55.80 76.54 76.54
Sites, in units of the cell vectors:
V1 0.000 0.000 0.000
Ge1 0.521 0.855 0.855
Ge2 0.479 0.145 0.145
Pd1 0.228 0.356 0.777
Pd2 0.772 0.223 0.644
Pd3 0.087 0.773 0.773
Pd4 0.913 0.227 0.227
Pd5 0.228 0.777 0.356
Pd6 0.772 0.644 0.223
Pd7 0.682 0.644 0.644
Pd8 0.318 0.356 0.356